1.
A plane-wave DFT calculation with GGA-PBE was carried out for a relaxed Zr2AlTl crystal.

The structure in POSCAR format:
```
Zr2AlTl
1.0
-2.195 2.195 4.375
2.195 -2.195 4.375
2.195 2.195 -4.375
Zr Al Tl
2 1 1
direct
0.250 0.750 0.500 Zr
0.750 0.250 0.500 Zr
0.000 0.000 0.000 Al
0.500 0.500 0.000 Tl
```

## Properties
Calculated volume ... 84.3 Å³/cell
Fermi-level density of states ... 0.70 states/eV/atom
Formation energy from the elements ... -0.222 eV/atom

=====

2.
A plane-wave DFT calculation with GGA-PBE was carried out for a relaxed ZrAl2Tl crystal.

The structure in POSCAR format:
```
ZrAl2Tl
1.0
5.316 0.000 0.000
0.000 3.149 0.000
-2.166 0.000 4.872
Zr Al Tl
1 2 1
direct
0.000 0.000 0.000 Zr
0.500 0.000 0.500 Al
0.500 0.500 0.000 Al
0.000 0.500 0.500 Tl
```

## Properties
Energy above the most stable polymorph in this dataset ... 134 meV per atom
Calculated volume ... 81.6 Å³/cell
Fermi-level density of states ... 0.29 states/eV/atom
Formation energy from the elements ... -0.051 eV/atom

=====

3.
A plane-wave DFT calculation with GGA-PBE was carried out for a relaxed ZrAl2Tl crystal.

The structure in POSCAR format:
```
ZrAl2Tl
1.0
3.512 0.000 0.000
0.000 3.512 0.000
0.000 0.000 6.601
Zr Al Tl
1 2 1
direct
0.000 0.000 0.000 Zr
0.000 0.000 0.448 Al
0.500 0.500 0.246 Al
0.500 0.500 0.700 Tl
```

## Properties
Energy above the most stable polymorph in this dataset ... 166 meV per atom
Calculated volume ... 81.4 Å³/cell
Fermi-level density of states ... 0.36 states/eV/atom
Formation energy from the elements ... -0.019 eV/atom

=====

Please write out number 3 again, unchanged.
A plane-wave DFT calculation with GGA-PBE was carried out for a relaxed ZrAl2Tl crystal.

The structure in POSCAR format:
```
ZrAl2Tl
1.0
3.512 0.000 0.000
0.000 3.512 0.000
0.000 0.000 6.601
Zr Al Tl
1 2 1
direct
0.000 0.000 0.000 Zr
0.000 0.000 0.448 Al
0.500 0.500 0.246 Al
0.500 0.500 0.700 Tl
```

## Properties
Energy above the most stable polymorph in this dataset ... 166 meV per atom
Calculated volume ... 81.4 Å³/cell
Fermi-level density of states ... 0.36 states/eV/atom
Formation energy from the elements ... -0.019 eV/atom